Entry 1:
A plane-wave DFT calculation with PBE was carried out for MgTe4Pt after structural relaxation.

Geometry as POSCAR:
```
MgTe4Pt
1.0
0.0000 4.3957 4.3957
4.3957 0.0000 4.3957
4.3957 4.3957 0.0000
Mg Te Pt
1 4 1
direct
0.0000 0.0000 0.0000
0.3760 0.3760 0.3760
0.3760 0.3760 0.8719
0.3760 0.8719 0.3760
0.8719 0.3760 0.3760
0.7500 0.7500 0.7500
```

Electronic total energy = -2.718 eV/atom
DOS(E_F) = 5.16 states/eV/cell
Formation energy (no corrections) = 0.649 eV/atom
Space-group type = No. 216

***

Entry 2:
A plane-wave DFT calculation with PBE was carried out for MgTePt after structural relaxation.

Geometry as POSCAR:
```
MgTePt
1.0
2.2372 1.2916 8.4992
-2.2372 1.2916 8.4992
0.0000 -2.5833 8.4992
Mg Te Pt
2 2 2
direct
0.0000 0.0000 0.0000
0.4131 0.4131 0.4131
0.6133 0.6133 0.6133
0.8224 0.8224 0.8224
0.1142 0.1142 0.1142
0.7173 0.7173 0.7173
```

Electronic total energy = -4.182 eV/atom
DOS(E_F) = 3.56 states/eV/cell
Formation energy (no corrections) = -0.590 eV/atom
Space-group type = No. 160

***

Entry 3:
A plane-wave DFT calculation with PBE was carried out for MgTePt after structural relaxation.

Geometry as POSCAR:
```
MgTePt
1.0
4.3244 0.0000 0.0000
0.0000 4.3244 0.0000
0.0000 0.0000 7.3440
Mg Te Pt
2 2 2
direct
0.2500 0.2500 0.1157
0.7500 0.7500 0.8843
0.2500 0.7500 0.5000
0.7500 0.2500 0.5000
0.2500 0.2500 0.7604
0.7500 0.7500 0.2396
```

Electronic total energy = -3.674 eV/atom
DOS(E_F) = 2.56 states/eV/cell
Formation energy (no corrections) = -0.081 eV/atom
Space-group type = No. 129

***

Entry 4:
A plane-wave DFT calculation with PBE was carried out for Mg2TePt after structural relaxation.

Geometry as POSCAR:
```
Mg2TePt
1.0
3.8565 0.0000 0.0000
0.0000 3.8565 0.0000
0.0000 0.0000 5.8748
Mg Te Pt
2 1 1
direct
0.0000 0.0000 0.0000
0.5000 0.5000 0.3332
0.5000 0.5000 0.8237
0.0000 0.0000 0.4405
```

Electronic total energy = -3.579 eV/atom
DOS(E_F) = 0.65 states/eV/cell
Formation energy (no corrections) = -0.486 eV/atom
Space-group type = No. 99

***

Entry 5:
A plane-wave DFT calculation with PBE was carried out for MgTePt after structural relaxation.

Geometry as POSCAR:
```
MgTePt
1.0
4.0229 -2.4360 0.0000
4.0229 2.4360 0.0000
-3.0834 0.0000 6.6882
Mg Te Pt
2 2 2
direct
0.0000 0.0000 0.0000
0.6172 0.3828 0.5000
0.2828 0.2295 0.7977
0.7705 0.7172 0.2023
0.0262 0.7108 0.6010
0.2892 0.9738 0.3990
```

Electronic total energy = -4.127 eV/atom
DOS(E_F) = 0.06 states/eV/cell
Formation energy (no corrections) = -0.535 eV/atom
Space-group type = No. 5

***

Entry 6:
A plane-wave DFT calculation with PBE was carried out for Mg2TePt after structural relaxation.

Geometry as POSCAR:
```
Mg2TePt
1.0
3.1741 0.0000 0.0000
0.0000 3.1741 0.0000
0.0000 0.0000 8.5051
Mg Te Pt
2 1 1
direct
0.0000 0.0000 0.0000
0.5000 0.5000 0.2757
0.5000 0.5000 0.7031
0.0000 0.0000 0.4574
```

Electronic total energy = -3.266 eV/atom
DOS(E_F) = 1.90 states/eV/cell
Formation energy (no corrections) = -0.173 eV/atom
Space-group type = No. 99

***

Entry 7:
A plane-wave DFT calculation with PBE was carried out for MgTePt2 after structural relaxation.

Geometry as POSCAR:
```
MgTePt2
1.0
4.0230 0.0000 0.0000
0.0000 1.8391 5.2398
0.0000 -1.8391 5.2398
Mg Te Pt
1 1 2
direct
0.0000 0.0000 0.0000
0.5000 0.2918 0.2918
0.0000 0.7256 0.7256
0.5000 0.5399 0.5399
```

Electronic total energy = -4.620 eV/atom
Offset from the most stable computed form = 0.000 eV/atom
DOS(E_F) = 2.16 states/eV/cell
Formation energy (no corrections) = -0.415 eV/atom
Space-group type = No. 38

***

Entry 8:
A plane-wave DFT calculation with PBE was carried out for MgTePt after structural relaxation.

Geometry as POSCAR:
```
MgTePt
1.0
4.6710 -1.9304 0.0000
4.6710 1.9304 0.0000
-0.0056 0.0000 7.9628
Mg Te Pt
2 2 2
direct
0.1324 0.1324 0.3882
0.8676 0.8676 0.6118
0.1777 0.1777 0.8409
0.8223 0.8223 0.1591
0.4201 0.4201 0.3589
0.5799 0.5799 0.6411
```

Electronic total energy = -4.144 eV/atom
DOS(E_F) = 1.87 states/eV/cell
Formation energy (no corrections) = -0.552 eV/atom
Space-group type = No. 12